[1]
Here is crystalline Ni2HPt at its relaxed geometry from the Alexandria database. Energies are from GGA-PBE.

Summary:
E = -5.209 eV/atom
N(E_F) = 1.468 states/eV per atom
space group = Pmmn (59)
distance to the lowest polymorph of the same formula = 0.33 eV/f.u.

Unit cell a=2.6428 b=4.3383 c=7.1255 alpha=90.00 beta=90.00 gamma=90.00
Atoms (fractional coordinates):
Ni1 0.2500 0.2500 0.1053
Ni2 0.2500 0.2500 0.7634
Ni3 0.7500 0.7500 0.2366
Ni4 0.7500 0.7500 0.8947
H1 0.2500 0.7500 0.0675
H2 0.7500 0.2500 0.9325
Pt1 0.2500 0.7500 0.5717
Pt2 0.7500 0.2500 0.4283

---

[2]
Here is crystalline Rb2NbGaSb at its relaxed geometry from the Alexandria database. Energies are from GGA-PBE.

Summary:
formation energy (no corrections) = 86.54 kJ per mole of atoms
E = -2.934 eV/atom
N(E_F) = 0.989 states/eV per atom
space group = P4/mmm (123)
distance to the lowest polymorph of the same formula = 0.00 eV/f.u.

Unit cell a=6.2926 b=6.2926 c=5.1880 alpha=90.00 beta=90.00 gamma=90.00
Atoms (fractional coordinates):
Rb1 0.0000 0.5000 0.0000
Rb2 0.5000 0.0000 0.0000
Nb1 0.0000 0.0000 0.5000
Ga1 0.0000 0.0000 0.0000
Sb1 0.5000 0.5000 0.5000

---

[3]
Here is crystalline PrHo2CrN4 at its relaxed geometry from the Alexandria database. Energies are from GGA-PBE.

Summary:
formation energy (no corrections) = -121.54 kJ per mole of atoms
E = -8.367 eV/atom
N(E_F) = 0.437 states/eV per atom
space group = Cmcm (63)

Unit cell a=6.0532 b=6.0532 c=11.5823 alpha=90.00 beta=90.00 gamma=147.27
Atoms (fractional coordinates):
Pr1 0.0938 0.9062 0.7500
Pr2 0.9062 0.0938 0.2500
Ho1 0.3693 0.6307 0.5432
Ho2 0.3693 0.6307 0.9568
Ho3 0.6307 0.3693 0.0432
Ho4 0.6307 0.3693 0.4568
Cr1 0.1684 0.8316 0.2500
Cr2 0.8316 0.1684 0.7500
N1 0.0000 0.0000 0.0000
N2 0.0000 0.0000 0.5000
N3 0.2637 0.7363 0.1257
N4 0.2637 0.7363 0.3743
N5 0.4190 0.5810 0.7500
N6 0.5810 0.4190 0.2500
N7 0.7363 0.2637 0.6257
N8 0.7363 0.2637 0.8743

---

[4]
Here is crystalline RbZn2Tc at its relaxed geometry from the Alexandria database. Energies are from GGA-PBE.

Summary:
E = -2.413 eV/atom
N(E_F) = 0.353 states/eV per atom
space group = Fm-3m (225)
formation energy from the elements = 1.057 eV per atom
distance to the lowest polymorph of the same formula = 0.96 eV/f.u.

Unit cell a=5.0244 b=5.0244 c=5.0244 alpha=60.00 beta=60.00 gamma=60.00
Atoms (fractional coordinates):
Rb1 0.0000 0.0000 0.0000
Zn1 0.2500 0.2500 0.2500
Zn2 0.7500 0.7500 0.7500
Tc1 0.5000 0.5000 0.5000

---

[5]
Here is crystalline CaBePt2 at its relaxed geometry from the Alexandria database. Energies are from GGA-PBE.

Summary:
E = -4.671 eV/atom
N(E_F) = 0.579 states/eV per atom
space group = F-43m (216)
formation energy from the elements = -0.219 eV per atom

Unit cell a=4.5670 b=4.5670 c=4.5670 alpha=60.00 beta=60.00 gamma=60.00
Atoms (fractional coordinates):
Ca1 0.0000 0.0000 0.0000
Be1 0.7500 0.7500 0.7500
Pt1 0.2500 0.2500 0.2500
Pt2 0.5000 0.5000 0.5000

---

[6]
Here is crystalline SrMo2PbC at its relaxed geometry from the Alexandria database. Energies are from GGA-PBE.

Summary:
E = -4.522 eV/atom
N(E_F) = 0.671 states/eV per atom
space group = P4/mmm (123)
formation energy from the elements = 2.734 eV per atom

Unit cell a=5.3325 b=5.3325 c=6.3577 alpha=90.00 beta=90.00 gamma=90.00
Atoms (fractional coordinates):
Sr1 0.0000 0.0000 0.0000
Mo1 0.0000 0.5000 0.5000
Mo2 0.5000 0.0000 0.5000
Pb1 0.0000 0.0000 0.5000
C1 0.5000 0.5000 0.0000

---

[7]
Here is crystalline TbPm3Tm6Th2 at its relaxed geometry from the Alexandria database. Energies are from GGA-PBE.

Summary:
E = -5.026 eV/atom
N(E_F) = 1.262 states/eV per atom
space group = C2/m (12)
formation energy from the elements = 0.020 eV per atom

Unit cell a=6.1618 b=6.1618 c=11.6720 alpha=95.06 beta=95.06 gamma=119.98
Atoms (fractional coordinates):
Tb1 0.0000 0.0000 0.0000
Pm1 0.1661 0.8339 0.5000
Pm2 0.5000 0.5000 0.5000
Pm3 0.8339 0.1661 0.5000
Tm1 0.0820 0.4195 0.2458
Tm2 0.2556 0.2556 0.7539
Tm3 0.4195 0.0820 0.2458
Tm4 0.5805 0.9180 0.7542
Tm5 0.7444 0.7444 0.2461
Tm6 0.9180 0.5805 0.7542
Th1 0.3334 0.6666 0.0000
Th2 0.6666 0.3334 0.0000

---

[8]
Here is crystalline In8Ga2Sn3 at its relaxed geometry from the Alexandria database. Energies are from GGA-PBE.

Summary:
E = -2.922 eV/atom
N(E_F) = 0.328 states/eV per atom
space group = R-3m (166)
formation energy from the elements = 0.152 eV per atom

Unit cell a=11.8048 b=11.8048 c=11.8048 alpha=29.89 beta=29.89 gamma=29.89
Atoms (fractional coordinates):
In1 0.2184 0.2184 0.2184
In2 0.2328 0.2328 0.7316
In3 0.2328 0.7316 0.2328
In4 0.2684 0.7672 0.7672
In5 0.7316 0.2328 0.2328
In6 0.7672 0.2683 0.7672
In7 0.7672 0.7672 0.2684
In8 0.7816 0.7816 0.7816
Ga1 0.1378 0.1378 0.1378
Ga2 0.8622 0.8622 0.8622
Sn1 0.3145 0.3145 0.3145
Sn2 0.5000 0.5000 0.5000
Sn3 0.6855 0.6855 0.6855

---

[9]
Here is crystalline Sr2TbPrS4 at its relaxed geometry from the Alexandria database. Energies are from GGA-PBE.

Summary:
formation energy (no corrections) = -196.96 kJ per mole of atoms
E = -5.702 eV/atom
N(E_F) = 0.430 states/eV per atom
space group = P2/m (10)

Unit cell a=7.1052 b=4.0995 c=7.2542 alpha=90.00 beta=109.01 gamma=90.00
Atoms (fractional coordinates):
Sr1 0.0000 0.0000 0.0000
Sr2 0.5000 0.5000 0.0000
Tb1 0.0000 0.5000 0.5000
Pr1 0.5000 0.0000 0.5000
S1 0.2372 0.0000 0.7338
S2 0.2456 0.5000 0.2609
S3 0.7544 0.5000 0.7391
S4 0.7628 0.0000 0.2662

---

[10]
Here is crystalline TlSbC at its relaxed geometry from the Alexandria database. Energies are from GGA-PBE.

Summary:
formation energy (no corrections) = 59.53 kJ per mole of atoms
E = -4.620 eV/atom
space group = P1 (1)
distance to the lowest polymorph of the same formula = 0.01 eV/f.u.

Unit cell a=4.1132 b=7.1896 c=7.2199 alpha=117.85 beta=106.24 gamma=90.11
Atoms (fractional coordinates):
Tl1 0.0000 0.0000 0.0000
Tl2 0.2873 0.0980 0.5876
Sb1 0.0055 0.5299 0.0108
Sb2 0.6617 0.6088 0.3289
C1 0.6587 0.3070 0.3218
C2 0.6765 0.1476 0.3530

---

[11]
Here is crystalline Cr2Pt8Rh at its relaxed geometry from the Alexandria database. Energies are from GGA-PBE.

Summary:
E = -6.914 eV/atom
N(E_F) = 0.998 states/eV per atom
space group = Immm (71)
formation energy from the elements = -0.102 eV per atom

Unit cell a=7.2167 b=7.2167 c=7.2167 alpha=148.65 beta=116.27 gamma=72.75
Atoms (fractional coordinates):
Cr1 0.1692 0.1692 0.0000
Cr2 0.8308 0.8308 0.0000
Pt1 0.0760 0.3396 0.7364
Pt2 0.2256 0.0000 0.2256
Pt3 0.3327 0.8327 0.5000
Pt4 0.3968 0.6604 0.7364
Pt5 0.6032 0.3396 0.2636
Pt6 0.6673 0.1673 0.5000
Pt7 0.7744 0.0000 0.7744
Pt8 0.9240 0.6604 0.2636
Rh1 0.5000 0.5000 0.0000

---

[12]
Here is crystalline Ba3Ni at its relaxed geometry from the Alexandria database. Energies are from GGA-PBE.

Summary:
E = -2.450 eV/atom
N(E_F) = 1.402 states/eV per atom
space group = I4/mmm (139)
formation energy from the elements = 0.438 eV per atom

Unit cell a=12.7269 b=12.7269 c=12.7269 alpha=156.54 beta=156.54 gamma=33.41
Atoms (fractional coordinates):
Ba1 0.0000 0.5000 0.5000
Ba2 0.1243 0.1243 0.0000
Ba3 0.2500 0.7500 0.5000
Ba4 0.5000 0.0000 0.5000
Ba5 0.7500 0.2500 0.5000
Ba6 0.8757 0.8757 0.0000
Ni1 0.3745 0.3745 0.0000
Ni2 0.6255 0.6255 0.0000